Sr2AlNiH (PBE, relaxed); mass density = 4.01 g cm⁻³; electronic total energy = -16.10 eV for the cell shown; crystal system = tetragonal
1.0
5.1866 0.0000 0.0000
0.0000 4.0318 0.0000
0.0000 0.0000 5.1866
Sr Al H Ni
2 1 1 1
Cartesian
0.0000 0.0000 2.5933 Sr
2.5933 0.0000 0.0000 Sr
0.0000 2.0159 0.0000 Al
0.0000 0.0000 0.0000 H
2.5933 2.0159 2.5933 Ni